# Y9Tm2Th | Alexandria | PBE | relaxed
# - Calculated total energy: -6.176 eV per atom
# - Calculated volume: 383.9 Å³ per cell
# - Energy of formation: 35.5 meV/atom
data_Y9Tm2Th
_chemical_formula_sum 'Y9 Tm2 Th1'
_symmetry_space_group_name_H-M 'P 4/m m m'
_symmetry_Int_Tables_number 123
_symmetry_space_group_name_Hall '-P 4 2'
_cell_length_a 5.043
_cell_length_b 5.043
_cell_length_c 15.095
_cell_angle_alpha 90.00
_cell_angle_beta 90.00
_cell_angle_gamma 90.00
loop_
_atom_site_label
_atom_site_fract_x
_atom_site_fract_y
_atom_site_fract_z
Y1 0.000 0.000 0.000
Y2 0.000 0.000 0.336
Y3 0.000 0.500 0.166
Y4 0.000 0.500 0.500
Tm1 0.500 0.500 0.334
Th1 0.500 0.500 0.000

---

# Y2Tm3Th3 | Alexandria | PBE | relaxed
# - Calculated total energy: -6.041 eV per atom
# - Calculated volume: 504.9 Å³ per cell
# - Energy relative to the lowest polymorph listed for this composition: 0.0 meV per atom
# - Energy of formation: 34.8 meV/atom
data_Y2Tm3Th3
_chemical_formula_sum 'Y4 Tm6 Th6'
_symmetry_space_group_name_H-M 'I m m m'
_symmetry_Int_Tables_number 71
_symmetry_space_group_name_Hall '-I 2 2'
_cell_length_a 4.995
_cell_length_b 5.001
_cell_length_c 20.214
_cell_angle_alpha 90.00
_cell_angle_beta 90.00
_cell_angle_gamma 90.00
loop_
_atom_site_label
_atom_site_fract_x
_atom_site_fract_y
_atom_site_fract_z
Y1 0.000 0.000 0.250
Tm1 0.000 0.000 0.000
Tm2 0.000 0.500 0.376
Th1 0.000 0.000 0.500
Th2 0.000 0.500 0.123

---

# Y4Tm5Th | Alexandria | PBE | relaxed
# - Calculated total energy: -5.369 eV per atom
# - Calculated volume: 644.8 Å³ per cell
# - Energy relative to the lowest polymorph listed for this composition: 0.0 meV per atom
# - Energy of formation: 193.9 meV/atom
data_Y4Tm5Th
_chemical_formula_sum 'Y8 Tm10 Th2'
_symmetry_space_group_name_H-M 'C 1 2/m 1'
_symmetry_Int_Tables_number 12
_cell_length_a 11.654
_cell_length_b 5.359
_cell_length_c 10.403
_cell_angle_alpha 90.00
_cell_angle_beta 97.05
_cell_angle_gamma 90.00
loop_
_symmetry_equiv_pos_as_xyz
'x,y,z'
'-x,-y,-z'
'-x,y,-z'
'x,-y,z'
'x+1/2,y+1/2,z'
'-x+1/2,-y+1/2,-z'
'-x+1/2,y+1/2,-z'
'x+1/2,-y+1/2,z'
loop_
_atom_site_label
_atom_site_fract_x
_atom_site_fract_y
_atom_site_fract_z
Y1 0.057 0.000 0.270
Y2 0.157 0.500 0.759
Tm1 0.000 0.500 0.500
Tm2 0.181 0.000 0.948
Tm3 0.231 0.000 0.599
Th1 0.000 0.500 0.000

---

What did the second record say?
# Y2Tm3Th3 | Alexandria | PBE | relaxed
# - Calculated total energy: -6.041 eV per atom
# - Calculated volume: 504.9 Å³ per cell
# - Energy relative to the lowest polymorph listed for this composition: 0.0 meV per atom
# - Energy of formation: 34.8 meV/atom
data_Y2Tm3Th3
_chemical_formula_sum 'Y4 Tm6 Th6'
_symmetry_space_group_name_H-M 'I m m m'
_symmetry_Int_Tables_number 71
_symmetry_space_group_name_Hall '-I 2 2'
_cell_length_a 4.995
_cell_length_b 5.001
_cell_length_c 20.214
_cell_angle_alpha 90.00
_cell_angle_beta 90.00
_cell_angle_gamma 90.00
loop_
_atom_site_label
_atom_site_fract_x
_atom_site_fract_y
_atom_site_fract_z
Y1 0.000 0.000 0.250
Tm1 0.000 0.000 0.000
Tm2 0.000 0.500 0.376
Th1 0.000 0.000 0.500
Th2 0.000 0.500 0.123

---

Copy entry 2 word for word.
# Y2Tm3Th3 | Alexandria | PBE | relaxed
# - Calculated total energy: -6.041 eV per atom
# - Calculated volume: 504.9 Å³ per cell
# - Energy relative to the lowest polymorph listed for this composition: 0.0 meV per atom
# - Energy of formation: 34.8 meV/atom
data_Y2Tm3Th3
_chemical_formula_sum 'Y4 Tm6 Th6'
_symmetry_space_group_name_H-M 'I m m m'
_symmetry_Int_Tables_number 71
_symmetry_space_group_name_Hall '-I 2 2'
_cell_length_a 4.995
_cell_length_b 5.001
_cell_length_c 20.214
_cell_angle_alpha 90.00
_cell_angle_beta 90.00
_cell_angle_gamma 90.00
loop_
_atom_site_label
_atom_site_fract_x
_atom_site_fract_y
_atom_site_fract_z
Y1 0.000 0.000 0.250
Tm1 0.000 0.000 0.000
Tm2 0.000 0.500 0.376
Th1 0.000 0.000 0.500
Th2 0.000 0.500 0.123

---

Q: calculated volume of number 1 (Y9Tm2Th)?
A: 383.9 Å³ per cell

---

Q: What is the calculated volume in the second record?
A: 504.9 Å³ per cell